Entry 1:
Here is a relaxed structure of AlReSi2 from Alexandria via LeMat-Bulk. Energies are from GGA-PBE.

Cell and atoms, written as extended XYZ:
```
4
Lattice="1.555 -2.433 0.000 1.555 2.433 0.000 0.000 0.000 7.986" Properties=species:S:1:pos:R:3 pbc="T T T"
Al 0.000 0.000 0.000
Re 0.000 0.000 3.993
Si 1.555 0.000 2.094
Si 1.555 0.000 5.892
```

Values from the calculation:
The symmetry is No. 65. The electronic total energy is -26.04 eV/cell. For the uncorrected formation energy, the calculation gives 248.6 meV/atom. The density of states at the Fermi level comes out at 2.0 states/eV/cell.

---

Entry 2:
Here is a relaxed structure of Al2ReSi from Alexandria via LeMat-Bulk. Energies are from GGA-PBE.

Cell and atoms, written as extended XYZ:
```
4
Lattice="4.624 -1.428 0.000 4.624 1.428 0.000 -0.509 0.000 4.399" Properties=species:S:1:pos:R:3 pbc="T T T"
Al 2.107 0.000 1.080
Al 6.632 0.000 3.319
Re 4.624 0.000 0.000
Si -0.254 0.000 2.199
```

Values from the calculation:
The symmetry is No. 12. The electronic total energy is -25.30 eV/cell. For the uncorrected formation energy, the calculation gives 14.5 meV/atom. The density of states at the Fermi level comes out at 3.4 states/eV/cell.

---

Entry 3:
Here is a relaxed structure of Al2ReSi from Alexandria via LeMat-Bulk. Energies are from GGA-PBE.

Cell and atoms, written as extended XYZ:
```
8
Lattice="-3.637 3.637 2.498 3.637 -3.637 2.498 3.637 3.637 -2.498" Properties=species:S:1:pos:R:3 pbc="T T T"
Al 5.455 1.767 -0.625
Al 1.767 1.818 0.625
Al -1.818 1.870 1.874
Al 1.870 1.818 3.123
Re 0.000 0.000 0.000
Re 0.000 3.637 1.249
Si 3.637 0.000 1.249
Si 0.000 0.000 2.498
```

Values from the calculation:
The symmetry is No. 122. The electronic total energy is -46.31 eV/cell. For the uncorrected formation energy, the calculation gives 550.8 meV/atom. The density of states at the Fermi level comes out at 5.6 states/eV/cell.

---

Entry 4:
Here is a relaxed structure of Al2ReSi from Alexandria via LeMat-Bulk. Energies are from GGA-PBE.

Cell and atoms, written as extended XYZ:
```
4
Lattice="1.448 0.836 8.238 -1.448 0.836 8.238 0.000 -1.673 8.238" Properties=species:S:1:pos:R:3 pbc="T T T"
Al 0.000 0.000 6.162
Al 0.000 0.000 18.553
Re 0.000 0.000 12.358
Si 0.000 0.000 0.000
```

Values from the calculation:
The symmetry is No. 166. The electronic total energy is -25.00 eV/cell. For the uncorrected formation energy, the calculation gives 90.3 meV/atom. The density of states at the Fermi level comes out at 3.5 states/eV/cell.

---

- Which value of uncorrected formation energy does entry 2 give?
  14.5 meV/atom

---

- Which value of electronic total energy does entry 1 give?
  -26.04 eV/cell

---

- Which formula does entry 4 have?
  Al2ReSi

---

- The lowest electronic total energy belongs to which entry?
  number 3